No. 1
Compound: BeZnSbTe2
Source: Alexandria via LeMat-Bulk
Functional: PBE
Structure: optimized geometry

a = 5.393 Å, b = 5.393 Å, c = 5.027 Å
α = 90.00°, β = 90.00°, γ = 90.00°
Positions (direct):
Be 0.500 0.500 0.500
Te 0.000 0.500 0.000
Te 0.500 0.000 0.000
Zn 0.000 0.000 0.000
Sb 0.000 0.000 0.500

**Raw formation energy**: 966 meV/atom
**SG**: P4/mmm (123)
**Total magnetization**: 0.00 μB per formula unit
**E_tot**: -2.115 eV per atom
**Polymorph energy (0 for the lowest one)**: 483 meV per atom

No. 2
Compound: Sb8IrRh2
Source: Alexandria via LeMat-Bulk
Functional: PBE
Structure: optimized geometry

a = 5.245 Å, b = 8.841 Å, c = 7.725 Å
α = 124.82°, β = 90.37°, γ = 90.05°
Positions (direct):
Ir 0.000 0.000 0.000
Rh 0.764 0.627 0.254
Rh 0.236 0.373 0.746
Sb 0.252 0.586 0.176
Sb 0.696 0.292 0.168
Sb 0.695 0.875 0.168
Sb 0.305 0.125 0.832
Sb 0.748 0.414 0.824
Sb 0.305 0.170 0.340
Sb 0.304 0.708 0.832
Sb 0.695 0.830 0.660

**Raw formation energy**: -120 meV/atom
**SG**: P-1 (2)
**Total magnetization**: 0.00 μB per formula unit
**E_tot**: -5.260 eV per atom

No. 3
Compound: Ac4Pd2Pt
Source: Alexandria via LeMat-Bulk
Functional: PBE
Structure: optimized geometry

a = 5.908 Å, b = 5.908 Å, c = 8.418 Å
α = 110.54°, β = 110.54°, γ = 90.00°
Positions (direct):
Ac 0.500 0.000 0.000
Ac 0.209 0.209 0.417
Ac 0.791 0.791 0.583
Ac 0.000 0.500 0.000
Pd 0.403 0.403 0.807
Pd 0.597 0.597 0.193
Pt 0.000 0.000 0.000

**SG**: I4/mmm (139)
**ΔE_f**: -0.539 eV/atom
**Total magnetization**: 0.00 μB per formula unit
**E_tot**: -5.233 eV per atom
**Polymorph energy (0 for the lowest one)**: 230 meV per atom

No. 4
Compound: SnBrF2
Source: Alexandria via LeMat-Bulk
Functional: PBE
Structure: optimized geometry

a = 7.739 Å, b = 7.739 Å, c = 7.739 Å
α = 139.53°, β = 139.53°, γ = 58.57°
Each line ends with the local moment (μB).
Positions (direct):
F 0.875 0.625 0.750  0.00
F 0.875 0.125 0.750  0.00
F 0.375 0.125 0.250  0.00
F 0.875 0.125 0.250  0.00
Br 0.500 0.500 0.000  0.23
Br 0.250 0.750 0.500  0.23
Sn 0.000 0.000 0.000  0.01
Sn 0.750 0.250 0.500  0.01

**Raw formation energy**: -1370 meV/atom
**SG**: I4_1/amd (141)
**Total magnetization**: 0.34 μB per formula unit
**E_tot**: -3.725 eV per atom
**Polymorph energy (0 for the lowest one)**: 0 meV per atom